(1)
The following is a PBE calculation of crystalline BaLa3Ir at its relaxed geometry, from Alexandria.

Cell lengths 5.730, 5.730, 11.293 Å; angles 90.00, 90.00, 120.00 degrees
Sites, in units of the cell vectors:
Ir  0.000  0.000  0.000
Ir  0.000  0.000  0.500
Ba  0.333  0.667  0.750
Ba  0.667  0.333  0.250
La  0.000  0.000  0.250
La  0.000  0.000  0.750
La  0.333  0.667  0.079
La  0.333  0.667  0.421
La  0.667  0.333  0.579
La  0.667  0.333  0.921

Computed properties:
E   -5.20 eV per atom


(2)
The following is a PBE calculation of crystalline Ho4Er2Cd at its relaxed geometry, from Alexandria.

Cell lengths 3.465, 8.407, 8.341 Å; angles 116.65, 101.99, 90.00 degrees
Sites, in units of the cell vectors:
Ho  0.919  0.297  0.838
Ho  0.081  0.703  0.162
Ho  0.632  0.395  0.263
Ho  0.368  0.605  0.737
Er  0.782  0.859  0.564
Er  0.218  0.141  0.436
Cd  0.000  0.000  0.000

Computed properties:
E   -4.01 eV per atom


(3)
The following is a PBE calculation of crystalline Dy3Hg2Ru at its relaxed geometry, from Alexandria.

Cell lengths 5.075, 7.954, 7.423 Å; angles 90.00, 90.00, 71.40 degrees
Sites, in units of the cell vectors:
Dy  0.826  0.348  0.775
Dy  0.500  0.000  0.234
Dy  0.174  0.652  0.225
Dy  0.826  0.348  0.225
Dy  0.174  0.652  0.775
Dy  0.500  0.000  0.766
Hg  0.000  0.000  0.000
Hg  0.000  0.000  0.500
Hg  0.335  0.331  0.500
Hg  0.665  0.669  0.500
Ru  0.334  0.331  0.000
Ru  0.666  0.669  0.000

Computed properties:
E   -4.41 eV per atom


(4)
The following is a PBE calculation of crystalline Ac2MgHg6 at its relaxed geometry, from Alexandria.

Cell lengths 6.079, 6.931, 6.931 Å; angles 57.79, 87.64, 87.64 degrees
Sites, in units of the cell vectors:
Ac  0.825  0.664  0.664
Ac  0.175  0.336  0.336
Mg  0.000  0.000  0.000
Hg  0.317  0.351  0.827
Hg  0.313  0.814  0.814
Hg  0.317  0.827  0.351
Hg  0.683  0.649  0.173
Hg  0.687  0.186  0.186
Hg  0.683  0.173  0.649

Computed properties:
E   -1.68 eV per atom


(5)
The following is a PBE calculation of crystalline KBiH2 at its relaxed geometry, from Alexandria.

Cell lengths 7.234, 7.181, 4.425 Å; angles 72.25, 72.17, 107.60 degrees
Sites, in units of the cell vectors:
K  0.741  0.256  0.501
K  0.509  0.494  0.999
Bi  0.035  0.968  0.999
Bi  0.215  0.782  0.501
H  0.508  0.083  0.202
H  0.742  0.667  0.298
H  0.914  0.489  0.799
H  0.336  0.261  0.701

Computed properties:
E   -2.83 eV per atom


(6)
The following is a PBE calculation of crystalline La4TlPI2 at its relaxed geometry, from Alexandria.

Cell lengths 4.321, 7.945, 8.231 Å; angles 107.19, 90.00, 90.00 degrees
Sites, in units of the cell vectors:
La  0.500  0.267  0.218
La  0.500  0.733  0.782
La  0.000  0.287  0.798
La  0.000  0.713  0.202
Tl  0.000  0.000  0.000
P  0.500  0.500  0.000
I  0.500  0.000  0.500
I  0.000  0.500  0.500

Computed properties:
Raw formation energy   -1.054 eV per atom


(7)
The following is a PBE calculation of crystalline NpInP2Rh5 at its relaxed geometry, from Alexandria.

Cell lengths 4.035, 4.035, 10.258 Å; angles 90.00, 90.00, 90.00 degrees
Sites, in units of the cell vectors:
Np  0.000  0.000  0.500
In  0.000  0.000  0.000
P  0.500  0.500  0.278
P  0.500  0.500  0.722
Rh  0.000  0.500  0.181
Rh  0.500  0.000  0.181
Rh  0.000  0.500  0.819
Rh  0.500  0.000  0.819
Rh  0.500  0.500  0.500

Computed properties:
E   -7.49 eV per atom


(8)
The following is a PBE calculation of crystalline GaReIO2 at its relaxed geometry, from Alexandria.

Cell lengths 3.879, 3.879, 6.044 Å; angles 90.00, 90.00, 90.00 degrees
Sites, in units of the cell vectors:
I  0.000  0.000  0.500
Re  0.500  0.500  0.500
O  0.000  0.500  0.000
O  0.500  0.000  0.000
Ga  0.000  0.000  0.000

Computed properties:
Raw formation energy   0.522 eV per atom